Run one
Computed, not measured: a relaxed structure of Ba2HgCl at the PBE-GGA level of DFT.

Cell: 8.965 8.965 8.965 Å, 152.84 151.28 39.94°
Atoms (fractional coordinates):
Hg (0.299, 0.799, 0.500)
Ba (0.959, 0.959, 0.000)
Ba (0.706, 0.206, 0.500)
Cl (0.536, 0.536, 0.000)

Fermi-level density of states = 3.867 states/eV/cell
Total magnetization = 0.09 μB per atom

=====

Run two
Computed, not measured: a relaxed structure of Ba2HgCl at the PBE-GGA level of DFT.

Cell: 4.145 4.259 9.044 Å, 89.64 90.00 90.00°
Atoms (fractional coordinates):
Ba (0.000, 0.252, 0.523)
Hg (0.500, 0.750, 0.750)
Cl (0.500, 0.250, 0.250)
Ba (0.000, 0.248, 0.977)

Fermi-level density of states = 2.580 states/eV/cell
Total magnetization = 0.00 μB per atom

=====

It is run one that is the least stable of them.

=====

Run one
Computed, not measured: a relaxed structure of Ba2HgCl at the PBE-GGA level of DFT.

Cell: 4.010 4.010 8.883 Å, 90.00 90.00 90.01°
Atoms (fractional coordinates):
Ba (0.000, 0.000, 0.511)
Cl (0.500, 0.500, 0.250)
Ba (0.000, 0.000, 0.989)
Hg (0.500, 0.500, 0.750)

Fermi-level density of states = 2.993 states/eV/cell
Total magnetization = 0.00 μB per atom

=====

Run two
Computed, not measured: a relaxed structure of Ba2HgCl at the PBE-GGA level of DFT.

Cell: 4.706 4.706 8.746 Å, 74.36 74.36 59.93°
Atoms (fractional coordinates):
Hg (0.250, 0.250, 0.250)
Cl (0.750, 0.750, 0.750)
Ba (0.002, 0.002, 0.995)
Ba (0.498, 0.498, 0.505)

Fermi-level density of states = 3.895 states/eV/cell
Total magnetization = 0.13 μB per atom

=====

Run three
Computed, not measured: a relaxed structure of Ba2HgCl at the PBE-GGA level of DFT.

Cell: 8.560 8.560 7.740 Å, 56.43 56.43 90.00°
Atoms (fractional coordinates):
Ba (0.875, 0.854, 0.750)
Hg (0.750, 0.250, 0.500)
Ba (0.146, 0.625, 0.250)
Cl (0.500, 0.500, 0.000)
Ba (0.375, 0.396, 0.750)
Cl (0.250, 0.750, 0.500)
Ba (0.604, 0.125, 0.250)
Hg (0.000, 0.000, 0.000)

Fermi-level density of states = 9.200 states/eV/cell
Total magnetization = 0.00 μB per atom

=====

Run four
Computed, not measured: a relaxed structure of Ba2HgCl at the PBE-GGA level of DFT.

Cell: 4.558 4.558 9.275 Å, 75.78 75.78 60.00°
Atoms (fractional coordinates):
Hg (0.668, 0.668, 0.997)
Cl (0.498, 0.498, 0.505)
Ba (0.251, 0.251, 0.246)
Ba (0.083, 0.083, 0.752)

Fermi-level density of states = 4.371 states/eV/cell
Total magnetization = 0.00 μB per atom

=====

It is run three that is the least stable of them.

=====

Run one
Computed, not measured: a relaxed structure of Ba2HgCl at the PBE-GGA level of DFT.

Cell: 4.805 4.805 6.947 Å, 90.00 90.00 90.00°
Atoms (fractional coordinates):
Ba (0.500, 0.500, 0.375)
Cl (0.000, 0.000, 0.375)
Hg (0.500, 0.500, 0.875)
Ba (0.000, 0.000, 0.875)

Fermi-level density of states = 4.447 states/eV/cell
Total magnetization = 0.00 μB per atom

=====

Run two
Computed, not measured: a relaxed structure of Ba2HgCl at the PBE-GGA level of DFT.

Cell: 5.880 5.880 5.880 Å, 60.00 60.00 60.00°
Atoms (fractional coordinates):
Ba (0.000, 0.000, 0.000)
Cl (0.500, 0.500, 0.500)
Ba (0.250, 0.250, 0.250)
Hg (0.750, 0.750, 0.750)

Fermi-level density of states = 4.619 states/eV/cell
Total magnetization = 0.00 μB per atom

=====

It is run two that is the least stable of them.